1.
{"formula": "Rb2HfPtAu", "functional": "PBE-GGA", "state": "optimized geometry", "dos_at_fermi_per_ev_atom": 0.9577, "e_form_ev_per_atom": 0.949, "spacegroup": "No. 123", "mass_density_g_cm3": 6.33, "cell": [[6.0469, 0.0000, 0.0000], [0.0000, 6.0469, 0.0000], [0.0000, 0.0000, 5.3206]], "species": ["Rb", "Rb", "Hf", "Pt", "Au"], "frac_coords": [[0.0000, 0.5000, 0.0000], [0.5000, 0.0000, 0.0000], [0.0000, 0.0000, 0.5000], [0.5000, 0.5000, 0.5000], [0.0000, 0.0000, 0.0000]]}


2.
{"formula": "RbHf2PtAu", "functional": "PBE-GGA", "state": "optimized geometry", "dos_at_fermi_per_ev_atom": 0.7703, "e_form_ev_per_atom": 2.195, "spacegroup": "No. 123", "mass_density_g_cm3": 11.39, "cell": [[4.9968, 0.0000, 0.0000], [0.0000, 4.9968, 0.0000], [0.0000, 0.0000, 4.8735]], "species": ["Rb", "Hf", "Hf", "Pt", "Au"], "frac_coords": [[0.0000, 0.0000, 0.0000], [0.0000, 0.5000, 0.0000], [0.5000, 0.0000, 0.0000], [0.0000, 0.0000, 0.5000], [0.5000, 0.5000, 0.5000]]}


3.
{"formula": "RbHfPt2Au", "functional": "PBE-GGA", "state": "optimized geometry", "dos_at_fermi_per_ev_atom": 0.9721, "e_form_ev_per_atom": 0.726, "spacegroup": "No. 123", "mass_density_g_cm3": 10.41, "cell": [[5.2588, 0.0000, 0.0000], [0.0000, 5.2588, 0.0000], [0.0000, 0.0000, 4.9105]], "species": ["Rb", "Hf", "Pt", "Pt", "Au"], "frac_coords": [[0.0000, 0.0000, 0.0000], [0.5000, 0.5000, 0.0000], [0.0000, 0.5000, 0.5000], [0.5000, 0.0000, 0.5000], [0.5000, 0.5000, 0.5000]]}


4.
{"formula": "HfPtAu2S", "functional": "PBE-GGA", "state": "optimized geometry", "dos_at_fermi_per_ev_atom": 0.9695, "spacegroup": "No. 123", "mass_density_g_cm3": 13.21, "raw_formation_energy_ev_per_fu": 2.3, "cell": [[4.7223, 0.0000, 0.0000], [0.0000, 4.7223, 0.0000], [0.0000, 0.0000, 4.5070]], "species": ["Hf", "Pt", "Au", "Au", "S"], "frac_coords": [[0.0000, 0.0000, 0.0000], [0.5000, 0.5000, 0.0000], [0.0000, 0.5000, 0.5000], [0.5000, 0.0000, 0.5000], [0.5000, 0.5000, 0.5000]]}


5.
{"formula": "HfPtAuSe2", "functional": "PBE-GGA", "state": "optimized geometry", "dos_at_fermi_per_ev_atom": 1.0524, "spacegroup": "No. 123", "mass_density_g_cm3": 9.60, "raw_formation_energy_ev_per_fu": 4.8, "cell": [[4.8857, 0.0000, 0.0000], [0.0000, 4.8857, 0.0000], [0.0000, 0.0000, 5.2781]], "species": ["Hf", "Pt", "Au", "Se", "Se"], "frac_coords": [[0.0000, 0.0000, 0.0000], [0.5000, 0.5000, 0.0000], [0.0000, 0.0000, 0.5000], [0.0000, 0.5000, 0.5000], [0.5000, 0.0000, 0.5000]]}


6.
{"formula": "TmHfPtAu", "functional": "PBE-GGA", "state": "optimized geometry", "dos_at_fermi_per_ev_atom": 0.5058, "e_form_ev_per_atom": -0.846, "spacegroup": "No. 216", "mass_density_g_cm3": 15.25, "cell": [[0.0000, 3.4275, 3.4275], [3.4275, 0.0000, 3.4275], [3.4275, 3.4275, 0.0000]], "species": ["Tm", "Hf", "Pt", "Au"], "frac_coords": [[0.0000, 0.0000, 0.0000], [0.5000, 0.5000, 0.5000], [0.2500, 0.2500, 0.2500], [0.7500, 0.7500, 0.7500]]}


7.
{"formula": "YHfPtAu", "functional": "PBE-GGA", "state": "optimized geometry", "dos_at_fermi_per_ev_atom": 0.5423, "e_form_ev_per_atom": -0.795, "spacegroup": "No. 216", "mass_density_g_cm3": 13.29, "cell": [[0.0000, 3.4540, 3.4540], [3.4540, 0.0000, 3.4540], [3.4540, 3.4540, 0.0000]], "species": ["Y", "Hf", "Pt", "Au"], "frac_coords": [[0.0000, 0.0000, 0.0000], [0.5000, 0.5000, 0.5000], [0.2500, 0.2500, 0.2500], [0.7500, 0.7500, 0.7500]]}


8.
{"formula": "Pu2HfAu", "functional": "PBE-GGA", "state": "optimized geometry", "dos_at_fermi_per_ev_atom": 2.4691, "e_form_ev_per_atom": -0.091, "spacegroup": "No. 123", "mass_density_g_cm3": 16.14, "polymorph_energy_ev_per_atom": 0.000, "cell": [[4.1948, 0.0000, 0.0000], [0.0000, 4.1948, 0.0000], [0.0000, 0.0000, 5.0492]], "species": ["Pu", "Pu", "Hf", "Au"], "frac_coords": [[0.0000, 0.5000, 0.0000], [0.5000, 0.0000, 0.0000], [0.0000, 0.0000, 0.5000], [0.5000, 0.5000, 0.5000]]}


9.
{"formula": "Pu2HfAu", "functional": "PBE-GGA", "state": "optimized geometry", "dos_at_fermi_per_ev_atom": 2.7339, "e_form_ev_per_atom": -0.017, "spacegroup": "No. 123", "mass_density_g_cm3": 15.02, "polymorph_energy_ev_per_atom": 0.074, "cell": [[3.9380, 0.0000, 0.0000], [0.0000, 3.9380, 0.0000], [0.0000, 0.0000, 6.1575]], "species": ["Pu", "Pu", "Hf", "Au"], "frac_coords": [[0.0000, 0.0000, 0.2372], [0.0000, 0.0000, 0.7628], [0.5000, 0.5000, 0.5000], [0.5000, 0.5000, 0.0000]]}


10.
{"formula": "PuHfAu", "functional": "PBE-GGA", "state": "optimized geometry", "dos_at_fermi_per_ev_atom": 2.6710, "e_form_ev_per_atom": -0.041, "spacegroup": "No. 166", "mass_density_g_cm3": 14.32, "polymorph_energy_ev_per_atom": 0.171, "cell": [[2.3967, 1.3838, 7.2211], [-2.3967, 1.3838, 7.2211], [0.0000, -2.7675, 7.2211]], "species": ["Pu", "Pu", "Hf", "Hf", "Au", "Au"], "frac_coords": [[0.1389, 0.1389, 0.1389], [0.8611, 0.8611, 0.8611], [0.2886, 0.2886, 0.2886], [0.7114, 0.7114, 0.7114], [0.4134, 0.4134, 0.4134], [0.5866, 0.5866, 0.5866]]}


11.
{"formula": "PuHfAu", "functional": "PBE-GGA", "state": "optimized geometry", "dos_at_fermi_per_ev_atom": 2.6496, "e_form_ev_per_atom": -0.212, "spacegroup": "No. 107", "mass_density_g_cm3": 15.28, "polymorph_energy_ev_per_atom": 0.000, "cell": [[-1.6257, 1.6257, 6.3675], [1.6257, -1.6257, 6.3675], [1.6257, 1.6257, -6.3675]], "species": ["Pu", "Hf", "Au"], "frac_coords": [[0.0000, 0.0000, 0.0000], [0.3194, 0.3194, 0.0000], [0.6823, 0.6823, 0.0000]]}


12.
{"formula": "PuHfAu", "functional": "PBE-GGA", "state": "optimized geometry", "dos_at_fermi_per_ev_atom": 2.6562, "e_form_ev_per_atom": -0.061, "spacegroup": "No. 156", "mass_density_g_cm3": 14.86, "polymorph_energy_ev_per_atom": 0.151, "cell": [[4.8609, 0.0000, 0.0000], [-2.4305, 4.2097, 0.0000], [0.0000, 0.0000, 3.3837]], "species": ["Pu", "Hf", "Au"], "frac_coords": [[0.0000, 0.0000, 0.0000], [0.3333, 0.6667, 0.5019], [0.6667, 0.3333, 0.4974]]}


Copy entry 8 word for word.
{"formula": "Pu2HfAu", "functional": "PBE-GGA", "state": "optimized geometry", "dos_at_fermi_per_ev_atom": 2.4691, "e_form_ev_per_atom": -0.091, "spacegroup": "No. 123", "mass_density_g_cm3": 16.14, "polymorph_energy_ev_per_atom": 0.000, "cell": [[4.1948, 0.0000, 0.0000], [0.0000, 4.1948, 0.0000], [0.0000, 0.0000, 5.0492]], "species": ["Pu", "Pu", "Hf", "Au"], "frac_coords": [[0.0000, 0.5000, 0.0000], [0.5000, 0.0000, 0.0000], [0.0000, 0.0000, 0.5000], [0.5000, 0.5000, 0.5000]]}